RbAgHg3 | PBEsol | relaxed

abc: 5.3758 5.3758 5.3758
angles: 90.00 90.00 90.00
Closest atoms and distances in Å follow each position.
Fractional positions:
1 Rb 0.0000 0.0000 0.0000  12 Hg 3.80
2 Ag 0.5000 0.5000 0.5000  6 Hg 2.69
3 Hg 0.0000 0.5000 0.5000  2 Ag 2.69
4 Hg 0.5000 0.0000 0.5000  2 Ag 2.69
5 Hg 0.5000 0.5000 0.0000  2 Ag 2.69

Calculated values
**Spin magnetization**: 0.00 μB/atom
**Space group**: No. 221
**E**: -1.26 eV/atom
**Polymorph energy (0 for the lowest one)**: 0.0000 eV/atom
**Formation enthalpy at 0 K**: -0.053 eV/atom
**D(E_F)**: 2.12 states/eV per cell
**Crystal system**: cubic

ReOsRu3 | PBEsol | relaxed

abc: 4.5307 4.5307 4.5307
angles: 90.00 90.00 90.00
Closest atoms and distances in Å follow each position.
Fractional positions:
1 Re 0.0000 0.0000 0.0000  6 Ru 2.27
2 Os 0.5000 0.5000 0.5000  12 Ru 3.20
3 Ru 0.0000 0.0000 0.5000  2 Re 2.27
4 Ru 0.0000 0.5000 0.0000  2 Re 2.27
5 Ru 0.5000 0.0000 0.0000  2 Re 2.27

Calculated values
**Spin magnetization**: 0.58 μB/atom
**Space group**: No. 221
**E**: -8.80 eV/atom
**Formation enthalpy at 0 K**: 2.414 eV/atom
**D(E_F)**: 8.65 states/eV per cell
**Crystal system**: cubic